(1)
This record from OQMD via LeMat-Bulk describes a relaxed structure of AuOF. The functional is PBE.

Results
ΔE to the lowest computed polymorph, eV per atom: 0.1643
Total DFT energy (no corrections), eV/f.u.: -10.7

Cell and atoms, written as extended XYZ:
```
6
Lattice="4.233 0.000 0.000 0.000 5.512 0.000 0.000 0.000 3.442" Properties=species:S:1:pos:R:3 pbc="T T T"
Au 3.175 4.567 0.860
Au 1.058 0.945 2.581
F 1.058 2.251 0.860
F 3.175 3.261 2.581
O 1.058 5.108 0.860
O 3.175 0.404 2.581
```

(2)
This record from OQMD via LeMat-Bulk describes a relaxed structure of PPb2AuF10. The functional is PBE.

Results
Total DFT energy (no corrections), eV/f.u.: -64.4

Cell and atoms, written as extended XYZ:
```
14
Lattice="4.458 0.000 0.000 0.885 4.767 0.000 2.054 -0.168 8.361" Properties=species:S:1:pos:R:3 pbc="T T T"
Au 1.469 2.300 4.181
F 3.570 3.317 0.153
F 4.252 1.225 0.933
F 1.071 3.095 1.312
F 3.131 2.555 2.960
F 4.363 0.044 3.449
F 3.033 4.555 4.913
F 4.266 2.044 5.401
F 6.326 1.505 7.049
F 3.145 3.375 7.428
F 3.827 1.282 8.208
P 4.899 2.383 0.002
Pb 2.248 0.060 2.463
Pb 5.148 4.539 5.898
```

(3)
This record from OQMD via LeMat-Bulk describes a relaxed structure of SbP2AuF12. The functional is PBE.

Results
Total DFT energy (no corrections), eV/f.u.: -71.6

Cell and atoms, written as extended XYZ:
```
32
Lattice="7.708 0.090 0.012 -3.748 6.619 0.189 0.012 0.179 8.235" Properties=species:S:1:pos:R:3 pbc="T T T"
Au 1.980 3.354 0.101
Au 0.006 0.089 4.118
F 1.756 0.603 0.383
F 4.697 2.061 0.856
F 4.404 5.095 1.154
F 0.152 5.583 1.324
F 6.976 0.932 1.570
F 5.767 2.721 2.985
F 0.550 3.046 3.012
F 1.503 0.640 2.946
F 2.383 4.942 3.098
F 3.225 2.492 3.146
F 4.720 0.513 3.095
F -1.156 5.032 3.370
F 5.128 1.855 5.067
F -0.748 6.375 5.342
F 0.746 4.395 5.291
F 1.589 1.945 5.339
F 2.469 6.247 5.491
F 3.422 3.842 5.425
F -1.795 4.167 5.452
F -3.004 5.956 6.867
F 3.820 1.304 7.113
F -0.433 1.793 7.283
F -0.725 4.827 7.580
F 2.216 6.284 8.054
P -0.123 4.172 0.706
P 5.786 1.388 3.758
P -1.814 5.500 4.679
P 4.094 2.716 7.731
Sb 0.000 0.000 0.000
Sb 1.986 3.444 4.218
```

(4)
This record from OQMD via LeMat-Bulk describes a relaxed structure of Te2Pb2AuF2. The functional is PBE.

Results
Total DFT energy (no corrections), eV/f.u.: -28.0

Cell and atoms, written as extended XYZ:
```
7
Lattice="-2.891 2.793 1.104 -0.989 -2.332 3.311 6.609 4.741 5.314" Properties=species:S:1:pos:R:3 pbc="T T T"
Au -1.940 0.231 2.207
F 3.304 2.370 2.657
F 1.364 2.601 4.864
Pb 1.787 0.470 3.490
Pb 2.882 4.501 4.031
Te -0.261 2.246 1.504
Te 4.930 2.725 6.016
```

(5)
This record from OQMD via LeMat-Bulk describes a relaxed structure of Te2PbAu2F2. The functional is PBE.

Results
Total DFT energy (no corrections), eV/f.u.: -23.3

Cell and atoms, written as extended XYZ:
```
7
Lattice="-1.730 2.003 2.856 -1.163 -3.337 1.635 8.117 -0.313 5.136" Properties=species:S:1:pos:R:3 pbc="T T T"
Au 1.585 -1.752 2.188
Au 5.086 0.772 5.193
F 0.000 0.000 0.000
F -1.447 -0.667 2.246
Pb 2.612 -0.824 4.813
Te 0.614 0.944 2.364
Te 6.057 -1.925 5.018
```

(6)
This record from OQMD via LeMat-Bulk describes a relaxed structure of PdAuF6. The functional is PBE.

Results
Total DFT energy (no corrections), eV/f.u.: -26.6

Cell and atoms, written as extended XYZ:
```
8
Lattice="-2.678 1.523 3.359 -1.702 -4.224 -0.186 3.622 -0.982 2.587" Properties=species:S:1:pos:R:3 pbc="T T T"
Au -0.379 -1.841 2.880
F -2.787 -1.955 2.403
F -1.899 -0.165 3.839
F -1.291 -3.749 1.628
F 0.533 0.066 4.132
F 1.141 -3.517 1.922
F 2.028 -1.727 3.357
Pd 0.000 0.000 0.000
```

(7)
This record from OQMD via LeMat-Bulk describes a relaxed structure of PtAuF6. The functional is PBE.

Results
Magnetic moment, μB per formula unit: 0.91
ΔE to the lowest computed polymorph, eV per atom: 0.0629
Total DFT energy (no corrections), eV/f.u.: -28.1

Cell and atoms, written as extended XYZ:
```
8
Lattice="3.445 1.989 2.317 -3.445 1.989 2.317 0.000 -3.978 2.317" Properties=species:S:1:pos:R:3 pbc="T T T"
Au 0.000 0.000 3.476
F 0.000 2.495 3.397
F 2.161 1.247 3.555
F -2.161 1.247 3.555
F 2.161 -1.247 3.397
F -2.161 -1.247 3.397
F 0.000 -2.495 3.555
Pt 0.000 0.000 0.000
```

(8)
This record from OQMD via LeMat-Bulk describes a relaxed structure of PtAuF6. The functional is PBE.

Results
Magnetic moment, μB per formula unit: 0.99
ΔE to the lowest computed polymorph, eV per atom: 0.0000
Total DFT energy (no corrections), eV/f.u.: -28.6

Cell and atoms, written as extended XYZ:
```
8
Lattice="2.465 1.423 4.550 -2.465 1.423 4.550 0.000 -2.847 4.550" Properties=species:S:1:pos:R:3 pbc="T T T"
Au 0.000 0.000 6.826
F 0.871 1.672 5.640
F -1.012 1.590 8.011
F -1.883 -0.081 5.640
F 1.883 0.081 8.011
F 1.012 -1.590 5.640
F -0.871 -1.672 8.011
Pt 0.000 0.000 0.000
```

(9)
This record from OQMD via LeMat-Bulk describes a relaxed structure of Te2Pt2AuF2. The functional is PBE.

Results
Magnetic moment, μB per formula unit: 0.00
Total DFT energy (no corrections), eV/f.u.: -27.4

Cell and atoms, written as extended XYZ:
```
7
Lattice="-0.828 -0.089 -3.472 -2.932 -1.895 0.748 -5.194 8.438 1.021" Properties=species:S:1:pos:R:3 pbc="T T T"
Au -2.597 4.219 0.510
F 0.000 0.000 0.000
F -1.880 -0.992 -1.362
Pt -2.324 0.447 0.543
Pt -4.749 6.998 -0.884
Te -1.845 2.280 -1.454
Te -5.229 5.165 1.113
```

(10)
This record from OQMD via LeMat-Bulk describes a relaxed structure of RbAuF4. The functional is PBE.

Results
Total DFT energy (no corrections), eV/f.u.: -20.7

Cell and atoms, written as extended XYZ:
```
6
Lattice="3.732 -3.753 0.000 3.732 3.753 0.000 0.000 0.000 3.704" Properties=species:S:1:pos:R:3 pbc="T T T"
Au 0.000 0.000 1.852
F 3.732 -2.524 0.000
F 3.732 2.524 0.000
F 1.941 0.000 1.852
F 5.522 0.000 1.852
Rb 3.732 0.000 0.000
```

(11)
This record from OQMD via LeMat-Bulk describes a relaxed structure of RbAuF4. The functional is PBE.

Results
Total DFT energy (no corrections), eV/f.u.: -21.9

Cell and atoms, written as extended XYZ:
```
12
Lattice="5.231 -2.345 0.000 5.231 2.345 0.000 -1.771 0.000 7.747" Properties=species:S:1:pos:R:3 pbc="T T T"
Au 2.616 -1.172 0.000
Au 1.730 1.172 3.873
F 4.490 -1.280 0.542
F 7.375 -0.360 1.133
F 2.202 -0.360 2.740
F 5.087 -1.280 3.331
F 3.604 1.280 4.416
F 6.489 0.360 5.007
F 1.317 0.360 6.614
F 4.202 1.280 7.205
Rb 4.788 1.060 1.937
Rb 3.903 -1.060 5.810
```

(12)
This record from OQMD via LeMat-Bulk describes a relaxed structure of ReAuF6. The functional is PBE.

Results
Magnetic moment, μB per formula unit: 2.00
Total DFT energy (no corrections), eV/f.u.: -39.3

Cell and atoms, written as extended XYZ:
```
32
Lattice="-4.664 4.664 4.664 4.664 -4.664 4.664 4.664 4.664 -4.664" Properties=species:S:1:pos:R:3 pbc="T T T"
Au 0.000 0.000 0.000
Au 0.000 0.000 4.664
Au 0.000 4.664 0.000
Au 4.664 0.000 0.000
F -0.807 1.280 7.504
F 3.384 -2.840 5.471
F 1.823 -0.807 5.944
F -1.280 2.840 5.471
F 2.840 -0.807 3.384
F 0.807 1.280 2.840
F -0.807 3.384 2.840
F -2.840 5.471 3.384
F 1.280 1.823 5.471
F 2.840 0.807 1.280
F 1.280 2.840 0.807
F 5.471 -1.280 2.840
F -0.807 5.944 1.823
F 3.384 1.823 3.857
F 1.823 3.857 3.384
F 3.384 2.840 -0.807
F 7.504 -0.807 1.280
F 5.471 1.280 1.823
F 3.857 3.384 1.823
F 1.823 5.471 1.280
F 5.944 1.823 -0.807
F 2.840 5.471 -1.280
F 1.280 7.504 -0.807
F 5.471 3.384 -2.840
Re -2.332 2.332 2.332
Re 2.332 -2.332 2.332
Re 2.332 2.332 -2.332
Re 2.332 2.332 2.332
```